No. 1
Density functional theory data (PBE-GGA) for NdEr3Al2 after structural relaxation.

Its magnetization is 0.2 μB/cell. Its space-group type is C2/m, No. 12. The energy above the most stable polymorph in this dataset comes out at 0.072 eV/atom. The value obtained for the formation energy is -0.187 eV/atom. As for the density of states at the Fermi level: 0.986 states/eV/atom. The total energy is -4.511 eV/atom.

Cell: 5.211 9.000 8.932 Å, 124.69 90.00 106.83°
Sites, in units of the cell vectors:
Al  0.231  0.462  0.860
Er  0.938  0.876  0.592
Nd  0.868  0.737  0.918
Er  0.062  0.124  0.408
Er  0.687  0.375  0.385
Nd  0.132  0.263  0.082
Er  0.617  0.234  0.703
Al  0.479  0.958  0.116
Al  0.769  0.538  0.140
Er  0.383  0.766  0.297
Al  0.521  0.042  0.884
Er  0.313  0.625  0.615

No. 2
Density functional theory data (PBE-GGA) for Li2Np2Co15 after structural relaxation.

Its magnetization is 13.0 μB/cell. Its space-group type is R-3m, No. 166. The value obtained for the formation energy is 0.001 eV/atom. As for the density of states at the Fermi level: 1.178 states/eV/atom. The total energy is -7.172 eV/atom.

Cell: 6.244 6.244 6.244 Å, 83.15 83.15 83.15°
Each line ends with the local moment (μB).
Sites, in units of the cell vectors:
Np  0.655  0.655  0.655  -3.76
Co  0.650  0.155  0.650  1.39
Co  0.703  0.000  0.297  1.50
Co  0.000  0.000  0.500  1.50
Co  0.350  0.845  0.350  1.39
Co  0.155  0.650  0.650  1.39
Co  0.000  0.500  0.000  1.50
Co  0.297  0.000  0.703  1.50
Co  0.650  0.650  0.155  1.39
Co  0.350  0.350  0.845  1.39
Co  0.000  0.703  0.297  1.50
Co  0.703  0.297  0.000  1.50
Co  0.000  0.297  0.703  1.50
Co  0.297  0.703  0.000  1.50
Li  0.095  0.095  0.095  -0.07
Li  0.905  0.905  0.905  -0.07
Np  0.345  0.345  0.345  -3.76
Co  0.500  0.000  0.000  1.50
Co  0.845  0.350  0.350  1.39

No. 3
Density functional theory data (PBE-GGA) for Ca2VCr after structural relaxation.

Its magnetization is 16.3 μB/cell. Its space-group type is I-42d, No. 122. The energy above the most stable polymorph in this dataset comes out at 0.298 eV/atom. The value obtained for the formation energy is 1.109 eV/atom. As for the density of states at the Fermi level: 1.930 states/eV/atom. The total energy is -4.577 eV/atom.

Cell: 8.308 8.308 6.682 Å, 51.56 51.56 90.00°
Each line ends with the local moment (μB).
Sites, in units of the cell vectors:
Ca  0.632  0.125  0.250  0.05
Cr  0.000  0.000  0.000  3.89
Ca  0.118  0.625  0.250  0.05
Ca  0.875  0.882  0.750  0.05
V  0.250  0.750  0.500  2.79
V  0.500  0.500  0.000  2.79
Ca  0.375  0.368  0.750  0.05
Cr  0.750  0.250  0.500  3.89

No. 4
Density functional theory data (PBE-GGA) for TiHgPb after structural relaxation.

Its magnetization is 0.0 μB/cell. Its space-group type is I4mm, No. 107. The energy above the most stable polymorph in this dataset comes out at 0.145 eV/atom. The value obtained for the formation energy is 0.176 eV/atom. As for the density of states at the Fermi level: 0.980 states/eV/atom. The total energy is -3.793 eV/atom.

Cell: 3.220 3.220 7.074 Å, 103.16 103.16 90.00°
Sites, in units of the cell vectors:
Ti  0.341  0.341  0.683
Pb  0.680  0.680  0.361
Hg  0.978  0.978  0.956